## CaTb2Tc (PBE-GGA)

Data for crystalline CaTb2Tc at its relaxed geometry. Values from VASP.

Output
Total magnetic moment (μB per formula unit): 0.0
ΔE_f (eV per atom): 0.009
Crystal system: tetragonal
E (eV per atom): -5.40
Relative energy among the computed polymorphs (eV/atom): 0.000

```
&SYSTEM
  ibrav = 0, nat = 4, ntyp = 3
/
ATOMIC_SPECIES
Ca 40.08 Ca.upf
Tb 158.93 Tb.upf
Tc 98.00 Tc.upf
CELL_PARAMETERS angstrom
3.512 0.000 0.000
0.000 3.512 0.000
0.000 0.000 9.276
ATOMIC_POSITIONS crystal
Ca 0.000 0.000 0.000
Tb 0.500 0.500 0.326
Tb 0.500 0.500 0.674
Tc 0.000 0.000 0.500
```


## CaTb2Tc (PBE-GGA)

Data for crystalline CaTb2Tc at its relaxed geometry. Values from VASP.

Output
Total magnetic moment (μB per formula unit): 0.0
ΔE_f (eV per atom): 0.267
Crystal system: trigonal
E (eV per atom): -5.14
Relative energy among the computed polymorphs (eV/atom): 0.258

```
&SYSTEM
  ibrav = 0, nat = 12, ntyp = 3
/
ATOMIC_SPECIES
Ca 40.08 Ca.upf
Tb 158.93 Tb.upf
Tc 98.00 Tc.upf
CELL_PARAMETERS angstrom
3.564 0.000 0.000
-1.782 3.087 0.000
0.000 0.000 32.632
ATOMIC_POSITIONS crystal
Ca 0.000 0.000 0.000
Ca 0.333 0.667 0.667
Ca 0.667 0.333 0.333
Tb 0.000 0.000 0.107
Tb 0.000 0.000 0.893
Tb 0.333 0.667 0.560
Tb 0.333 0.667 0.774
Tb 0.667 0.333 0.226
Tb 0.667 0.333 0.440
Tc 0.000 0.000 0.500
Tc 0.333 0.667 0.167
Tc 0.667 0.333 0.833
```


## CaTb3Tc (PBE-GGA)

Data for crystalline CaTb3Tc at its relaxed geometry. Values from VASP.

Output
Total magnetic moment (μB per formula unit): 0.0
ΔE_f (eV per atom): 0.063
Crystal system: cubic
E (eV per atom): -5.19

```
&SYSTEM
  ibrav = 0, nat = 5, ntyp = 3
/
ATOMIC_SPECIES
Ca 40.08 Ca.upf
Tb 158.93 Tb.upf
Tc 98.00 Tc.upf
CELL_PARAMETERS angstrom
5.449 0.000 0.000
0.000 5.449 0.000
0.000 0.000 5.449
ATOMIC_POSITIONS crystal
Ca 0.000 0.000 0.000
Tb 0.000 0.500 0.500
Tb 0.500 0.000 0.500
Tb 0.500 0.500 0.000
Tc 0.500 0.500 0.500
```


## CaTbTe2 (PBE-GGA)

Data for crystalline CaTbTe2 at its relaxed geometry. Values from VASP.

Output
Total magnetic moment (μB per formula unit): 0.0
Raw formation energy (eV per atom): -1.408
Crystal system: trigonal
E (eV per atom): -4.64
Relative energy among the computed polymorphs (eV/atom): 0.058

```
&SYSTEM
  ibrav = 0, nat = 12, ntyp = 3
/
ATOMIC_SPECIES
Ca 40.08 Ca.upf
Tb 158.93 Tb.upf
Te 127.60 Te.upf
CELL_PARAMETERS angstrom
4.317 0.000 0.000
-2.158 3.738 0.000
0.000 0.000 23.266
ATOMIC_POSITIONS crystal
Ca 0.000 0.000 0.000
Ca 0.333 0.667 0.667
Ca 0.667 0.333 0.333
Tb 0.000 0.000 0.172
Tb 0.333 0.667 0.839
Tb 0.667 0.333 0.506
Te 0.000 0.000 0.584
Te 0.000 0.000 0.757
Te 0.333 0.667 0.251
Te 0.333 0.667 0.423
Te 0.667 0.333 0.090
Te 0.667 0.333 0.917
```


## CaTb2Te4 (PBE-GGA)

Data for crystalline CaTb2Te4 at its relaxed geometry. Values from VASP.

Output
Total magnetic moment (μB per formula unit): 0.0
Raw formation energy (eV per atom): -1.443
Crystal system: orthorhombic
E (eV per atom): -4.85
Relative energy among the computed polymorphs (eV/atom): 0.000

```
&SYSTEM
  ibrav = 0, nat = 14, ntyp = 3
/
ATOMIC_SPECIES
Ca 40.08 Ca.upf
Tb 158.93 Tb.upf
Te 127.60 Te.upf
CELL_PARAMETERS angstrom
2.178 -7.186 0.000
2.178 7.186 0.000
0.000 0.000 15.182
ATOMIC_POSITIONS crystal
Ca 0.115 0.885 0.750
Ca 0.885 0.115 0.250
Tb 0.365 0.635 0.570
Tb 0.365 0.635 0.930
Tb 0.635 0.365 0.070
Tb 0.635 0.365 0.430
Te 0.000 0.000 0.000
Te 0.000 0.000 0.500
Te 0.276 0.724 0.119
Te 0.276 0.724 0.381
Te 0.458 0.542 0.750
Te 0.542 0.458 0.250
Te 0.724 0.276 0.619
Te 0.724 0.276 0.881
```


## Ca2TbTe3 (PBE-GGA)

Data for crystalline Ca2TbTe3 at its relaxed geometry. Values from VASP.

Output
Total magnetic moment (μB per formula unit): 0.0
Raw formation energy (eV per atom): -1.517
Crystal system: orthorhombic
E (eV per atom): -4.53
Relative energy among the computed polymorphs (eV/atom): 0.004

```
&SYSTEM
  ibrav = 0, nat = 12, ntyp = 3
/
ATOMIC_SPECIES
Ca 40.08 Ca.upf
Tb 158.93 Tb.upf
Te 127.60 Te.upf
CELL_PARAMETERS angstrom
4.438 0.000 0.000
0.000 6.302 0.000
0.000 0.000 13.407
ATOMIC_POSITIONS crystal
Ca 0.000 0.000 0.168
Ca 0.000 0.000 0.832
Ca 0.500 0.500 0.332
Ca 0.500 0.500 0.668
Tb 0.000 0.000 0.500
Tb 0.500 0.500 0.000
Te 0.000 0.500 0.164
Te 0.000 0.500 0.500
Te 0.000 0.500 0.836
Te 0.500 0.000 0.000
Te 0.500 0.000 0.336
Te 0.500 0.000 0.664
```


## CaTb5Te8 (PBE-GGA)

Data for crystalline CaTb5Te8 at its relaxed geometry. Values from VASP.

Output
Total magnetic moment (μB per formula unit): 0.0
Raw formation energy (eV per atom): -1.326
Crystal system: cubic
E (eV per atom): -4.92

```
&SYSTEM
  ibrav = 0, nat = 14, ntyp = 3
/
ATOMIC_SPECIES
Ca 40.08 Ca.upf
Tb 158.93 Tb.upf
Te 127.60 Te.upf
CELL_PARAMETERS angstrom
0.000 6.451 6.451
6.451 0.000 6.451
6.451 6.451 0.000
ATOMIC_POSITIONS crystal
Ca 0.000 0.000 0.000
Tb 0.373 0.373 0.373
Tb 0.373 0.373 0.882
Tb 0.373 0.882 0.373
Tb 0.750 0.750 0.750
Tb 0.882 0.373 0.373
Te 0.134 0.134 0.134
Te 0.134 0.134 0.597
Te 0.134 0.597 0.134
Te 0.149 0.617 0.617
Te 0.597 0.134 0.134
Te 0.617 0.149 0.617
Te 0.617 0.617 0.149
Te 0.617 0.617 0.617
```


## CaTbTe (PBE-GGA)

Data for crystalline CaTbTe at its relaxed geometry. Values from VASP.

Output
Total magnetic moment (μB per formula unit): 0.5
Raw formation energy (eV per atom): -0.595
Crystal system: orthorhombic
E (eV per atom): -3.85

```
&SYSTEM
  ibrav = 0, nat = 12, ntyp = 3
/
ATOMIC_SPECIES
Ca 40.08 Ca.upf
Tb 158.93 Tb.upf
Te 127.60 Te.upf
CELL_PARAMETERS angstrom
3.976 0.000 0.000
0.000 5.765 0.000
0.000 0.000 17.735
ATOMIC_POSITIONS crystal
Ca 0.000 0.000 0.167
Ca 0.000 0.000 0.833
Ca 0.500 0.500 0.333
Ca 0.500 0.500 0.667
Tb 0.000 0.249 0.500
Tb 0.000 0.751 0.500
Tb 0.500 0.251 0.000
Tb 0.500 0.749 0.000
Te 0.000 0.000 0.341
Te 0.000 0.000 0.659
Te 0.500 0.500 0.159
Te 0.500 0.500 0.841
```